An optimized crystal structure of CeAl8Pd4. Source: the Alexandria database, functional PBE.

Output
- total magnetic moment (μB per formula unit) = 0.82
- calculated formation energy (eV/f.u.) = -9.034
- VASP energy (eV per atom) = -5.052
- calculated density (g cm⁻³) = 6.02

Structure (CIF):
```
data_CeAl8Pd4
_cell_length_a 8.911
_cell_length_b 8.911
_cell_length_c 5.428
_cell_angle_alpha 90.00
_cell_angle_beta 90.00
_cell_angle_gamma 90.00
_symmetry_space_group_name_H-M 'I 4/m m m'
_symmetry_Int_Tables_number 139
_symmetry_space_group_name_Hall '-I 4 2'
loop_
_atom_site_label
_atom_site_type_symbol
_atom_site_fract_x
_atom_site_fract_y
_atom_site_fract_z
Ce1 Ce 0.000 0.000 0.000
Al1 Al 0.000 0.221 0.500
Al2 Al 0.000 0.348 0.000
Pd1 Pd 0.250 0.250 0.250
```

***

An optimized crystal structure of CeAl4Pd2. Source: the Alexandria database, functional PBE.

Output
- total magnetic moment (μB per formula unit) = 0.78
- calculated formation energy (eV/f.u.) = -4.561
- VASP energy (eV per atom) = -5.122
- calculated density (g cm⁻³) = 6.03

Structure (CIF):
```
data_CeAl4Pd2
_cell_length_a 7.799
_cell_length_b 7.799
_cell_length_c 4.174
_cell_angle_alpha 90.00
_cell_angle_beta 90.00
_cell_angle_gamma 90.00
_symmetry_space_group_name_H-M 'P 42/m n m'
_symmetry_Int_Tables_number 136
_symmetry_space_group_name_Hall '-P 4n 2n'
loop_
_atom_site_label
_atom_site_type_symbol
_atom_site_fract_x
_atom_site_fract_y
_atom_site_fract_z
Ce1 Ce 0.000 0.000 0.000
Al1 Al 0.084 0.337 0.500
Pd1 Pd 0.219 0.781 0.500
```